Entry 1:
# PmCdF5 PBE-GGA relaxed
# - Magnetic moment: 0.00 μB/cell
# - Final energy: -5.389 eV/atom
data_PmCdF5
_cell_length_a 9.527
_cell_length_b 7.264
_cell_length_c 7.977
_cell_angle_alpha 90.00
_cell_angle_beta 112.47
_cell_angle_gamma 90.00
_symmetry_space_group_name_H-M 'C 1 2/c 1'
_symmetry_Int_Tables_number 15
loop_
_symmetry_equiv_pos_as_xyz
'x,y,z'
'-x,-y,-z'
'-x,y,-z+1/2'
'x,-y,z+1/2'
'x+1/2,y+1/2,z'
'-x+1/2,-y+1/2,-z'
'-x+1/2,y+1/2,-z+1/2'
'x+1/2,-y+1/2,z+1/2'
loop_
_atom_site_label
_atom_site_type_symbol
_atom_site_fract_x
_atom_site_fract_y
_atom_site_fract_z
Pm1 Pm 0.000 0.047 0.250
Cd1 Cd 0.000 0.500 0.000
F1 F 0.000 0.365 0.250
F2 F 0.007 0.177 0.964
F3 F 0.247 0.474 0.632

***

Entry 2:
# VMoI2N PBE-GGA relaxed
# - Magnetic moment: 0.28 μB/cell
# - Relative energy among the computed polymorphs: 198 meV per atom
data_VMoI2N
_cell_length_a 5.591
_cell_length_b 5.591
_cell_length_c 3.804
_cell_angle_alpha 90.00
_cell_angle_beta 90.00
_cell_angle_gamma 90.00
_symmetry_space_group_name_H-M 'P 4/m m m'
_symmetry_Int_Tables_number 123
_symmetry_space_group_name_Hall '-P 4 2'
loop_
_atom_site_label
_atom_site_type_symbol
_atom_site_fract_x
_atom_site_fract_y
_atom_site_fract_z
V1 V 0.000 0.000 0.000
Mo1 Mo 0.500 0.500 0.500
I1 I 0.000 0.500 0.500
N1 N 0.500 0.500 0.000

***

Entry 3:
# HfHS2 PBE-GGA relaxed
# - Magnetic moment: 3.03 μB/cell
# - Relative energy among the computed polymorphs: 591 meV per atom
data_HfHS2
_cell_length_a 5.374
_cell_length_b 5.374
_cell_length_c 10.541
_cell_angle_alpha 90.00
_cell_angle_beta 90.00
_cell_angle_gamma 90.00
_symmetry_space_group_name_H-M 'I -4 2 d'
_symmetry_Int_Tables_number 122
_symmetry_space_group_name_Hall 'I -4 2bw'
loop_
_atom_site_label
_atom_site_type_symbol
_atom_site_fract_x
_atom_site_fract_y
_atom_site_fract_z
Hf1 Hf 0.000 0.000 0.000
H1 H 0.000 0.000 0.500
S1 S 0.216 0.250 0.625

***

Entry 4:
# KRb2SnHg PBE-GGA relaxed
# - Magnetic moment: 0.52 μB/cell
# - ΔH_f (0 K): -0.1 eV per formula unit
data_KRb2SnHg
_cell_length_a 7.018
_cell_length_b 7.018
_cell_length_c 5.483
_cell_angle_alpha 90.00
_cell_angle_beta 90.00
_cell_angle_gamma 90.00
_symmetry_space_group_name_H-M 'P 4/m m m'
_symmetry_Int_Tables_number 123
_symmetry_space_group_name_Hall '-P 4 2'
loop_
_atom_site_label
_atom_site_type_symbol
_atom_site_fract_x
_atom_site_fract_y
_atom_site_fract_z
K1 K 0.000 0.000 0.000
Rb1 Rb 0.000 0.500 0.500
Sn1 Sn 0.500 0.500 0.000
Hg1 Hg 0.500 0.500 0.500